No. 1
Density functional theory data (PBE) for a relaxed NaZn2PdAu crystal.

Summary:
* SG: P4/mmm (123)
* formation enthalpy at 0 K: 0.320 eV/atom
* D(E_F): 2.18 states/eV per cell

Cell: 4.8586 4.8586 5.1988 Å, 90.00 90.00 90.00°
With the nearest neighbours (Å) after each atom.
Element x y z (fractional)
Na 0.0000 0.0000 0.5000  2 Au 2.60
Zn 0.0000 0.5000 0.0000  2 Au 2.43
Zn 0.5000 0.0000 0.0000  2 Au 2.43
Au 0.0000 0.0000 0.0000  4 Zn 2.43, 2 Na 2.60
Pd 0.5000 0.5000 0.5000  4 Na 3.44, 8 Zn 3.56

=====

No. 2
Density functional theory data (PBE) for a relaxed Na2Zn2Pd5Au crystal.

Summary:
* SG: P4/mbm (127)
* formation enthalpy at 0 K: -0.268 eV/atom
* D(E_F): 6.35 states/eV per cell

Cell: 3.8179 9.5319 9.5319 Å, 90.00 90.00 90.00°
With the nearest neighbours (Å) after each atom.
Element x y z (fractional)
Na 0.0000 0.6748 0.1748  3 Zn 2.70-2.90
Na 0.0000 0.3252 0.8252  3 Zn 2.70-2.90
Na 0.0000 0.1748 0.3252  3 Zn 2.70-2.90
Na 0.0000 0.8252 0.6748  3 Zn 2.70-2.90
Zn 0.0000 0.1253 0.6253  6 Pd 2.55, 1 Na 2.70
Zn 0.0000 0.8747 0.3747  6 Pd 2.55, 1 Na 2.70
Zn 0.0000 0.6253 0.8747  6 Pd 2.55, 1 Na 2.70
Zn 0.0000 0.3747 0.1253  6 Pd 2.55, 1 Na 2.70
Pd 0.5000 0.2067 0.0677  2 Zn 2.55, 2 Au 2.82
Pd 0.5000 0.7933 0.9323  2 Zn 2.55, 2 Au 2.82
Pd 0.5000 0.0677 0.7933  2 Zn 2.55, 2 Au 2.82
Pd 0.5000 0.7067 0.4323  2 Zn 2.55, 2 Au 2.82
Pd 0.5000 0.9323 0.2067  2 Zn 2.55, 2 Au 2.82
Pd 0.5000 0.2933 0.5677  2 Zn 2.55, 2 Au 2.82
Pd 0.5000 0.5677 0.7067  2 Zn 2.55, 2 Au 2.82
Pd 0.5000 0.4323 0.2933  2 Zn 2.55, 2 Au 2.82
Pd 0.5000 0.5000 0.0000  4 Zn 2.55
Pd 0.5000 0.0000 0.5000  4 Zn 2.55
Au 0.0000 0.0000 0.0000  8 Pd 2.82
Au 0.0000 0.5000 0.5000  8 Pd 2.82

=====

No. 3
Density functional theory data (PBE) for a relaxed NaZnPdAu crystal.

Summary:
* SG: Cm (8)
* formation enthalpy at 0 K: -0.202 eV/atom
* D(E_F): 1.15 states/eV per cell

Cell: 4.4374 4.4226 5.2464 Å, 114.94 90.00 120.11°
With the nearest neighbours (Å) after each atom.
Element x y z (fractional)
Na 0.0478 0.0957 0.8726  4 Zn 2.83-3.10, 4 Au 2.95-3.03, 3 Pd 3.09-3.10
Zn 0.8428 0.6856 0.2552  3 Pd 2.55-2.56, 3 Au 2.81-2.83, 1 Na 2.83
Pd 0.5088 0.0176 0.2541  3 Zn 2.55-2.56, 3 Au 2.82-2.83
Au 0.2629 0.5258 0.5167  3 Zn 2.81-2.83, 3 Pd 2.82-2.83, 4 Na 2.95-3.03

=====

No. 4
Density functional theory data (PBE) for a relaxed Na2ZnPd5Au2 crystal.

Summary:
* SG: P4/mbm (127)
* formation enthalpy at 0 K: -0.134 eV/atom
* D(E_F): 14.79 states/eV per cell

Cell: 3.9739 9.6189 9.6189 Å, 90.00 90.00 90.00°
With the nearest neighbours (Å) after each atom.
Element x y z (fractional)
Na 0.0000 0.6680 0.1680  3 Au 2.71-2.92, 2 Pd 3.03
Na 0.0000 0.3320 0.8320  3 Au 2.71-2.92, 2 Pd 3.03
Na 0.0000 0.1680 0.3320  3 Au 2.71-2.92, 2 Pd 3.03
Na 0.0000 0.8320 0.6680  3 Au 2.71-2.92, 2 Pd 3.03
Zn 0.0000 0.0000 0.0000  8 Pd 2.75
Zn 0.0000 0.5000 0.5000  8 Pd 2.75
Pd 0.5000 0.1920 0.0493  3 Pd 2.70-3.00, 2 Au 2.73, 2 Zn 2.75
Pd 0.5000 0.8080 0.9507  3 Pd 2.70-3.00, 2 Au 2.73, 2 Zn 2.75
Pd 0.5000 0.0493 0.8080  3 Pd 2.70-3.00, 2 Au 2.73, 2 Zn 2.75
Pd 0.5000 0.6920 0.4507  3 Pd 2.70-3.00, 2 Au 2.73, 2 Zn 2.75
Pd 0.5000 0.9507 0.1920  3 Pd 2.70-3.00, 2 Au 2.73, 2 Zn 2.75
Pd 0.5000 0.3080 0.5493  3 Pd 2.70-3.00, 2 Au 2.73, 2 Zn 2.75
Pd 0.5000 0.5493 0.6920  3 Pd 2.70-3.00, 2 Au 2.73, 2 Zn 2.75
Pd 0.5000 0.4507 0.3080  3 Pd 2.70-3.00, 2 Au 2.73, 2 Zn 2.75
Pd 0.5000 0.5000 0.0000  4 Au 2.69, 4 Pd 3.00
Pd 0.5000 0.0000 0.5000  4 Au 2.69, 4 Pd 3.00
Au 0.0000 0.1331 0.6331  6 Pd 2.69-2.73, 3 Na 2.71-2.92
Au 0.0000 0.8669 0.3669  6 Pd 2.69-2.73, 3 Na 2.71-2.92
Au 0.0000 0.6331 0.8669  6 Pd 2.69-2.73, 3 Na 2.71-2.92
Au 0.0000 0.3669 0.1331  6 Pd 2.69-2.73, 3 Na 2.71-2.92

=====

No. 5
Density functional theory data (PBE) for a relaxed NaZrPdAu crystal.

Summary:
* SG: F-43m (216)
* formation enthalpy at 0 K: -0.316 eV/atom
* D(E_F): 2.48 states/eV per cell

Cell: 4.7562 4.7562 4.7562 Å, 60.00 60.00 60.00°
With the nearest neighbours (Å) after each atom.
Element x y z (fractional)
Na 0.2500 0.2500 0.2500  4 Pd 2.91, 4 Au 2.91
Au 0.0000 0.0000 0.0000  4 Na 2.91, 4 Zr 2.91
Zr 0.7500 0.7500 0.7500  4 Au 2.91, 4 Pd 2.91
Pd 0.5000 0.5000 0.5000  4 Zr 2.91, 4 Na 2.91

=====

No. 6
Density functional theory data (PBE) for a relaxed NaPmAu6 crystal.

Summary:
* SG: Pm-3 (200)
* formation enthalpy at 0 K: -0.405 eV/atom
* D(E_F): 2.72 states/eV per cell

Cell: 5.4841 5.4841 5.4841 Å, 90.00 90.00 90.00°
With the nearest neighbours (Å) after each atom.
Element x y z (fractional)
Na 0.5000 0.5000 0.5000  12 Au 3.06
Pm 0.0000 0.0000 0.0000  12 Au 3.07
Au 0.5000 0.7477 0.0000  2 Au 2.72-2.77
Au 0.7477 0.0000 0.5000  2 Au 2.72-2.77
Au 0.0000 0.5000 0.2523  2 Au 2.72-2.77
Au 0.2523 0.0000 0.5000  2 Au 2.72-2.77
Au 0.5000 0.2523 0.0000  2 Au 2.72-2.77
Au 0.0000 0.5000 0.7477  2 Au 2.72-2.77

=====

No. 7
Density functional theory data (PBE) for a relaxed Na2PmAu3 crystal.

Summary:
* SG: P-3m1 (164)
* formation enthalpy at 0 K: -0.500 eV/atom
* D(E_F): 7.46 states/eV per cell

Cell: 5.0761 5.0761 12.3931 Å, 90.00 90.00 120.00°
With the nearest neighbours (Å) after each atom.
Element x y z (fractional)
Na 0.0000 0.0000 0.5000  8 Au 3.05-3.14
Na 0.3333 0.6667 0.1533  8 Au 3.02-3.18
Na 0.6667 0.3333 0.8467  8 Au 3.02-3.18
Na 0.0000 0.0000 0.0000  8 Au 3.15, 6 Na 3.49
Pm 0.3333 0.6667 0.6657  8 Au 2.98-3.17
Pm 0.6667 0.3333 0.3343  8 Au 2.98-3.17
Au 0.3333 0.6667 0.4096  4 Pm 3.08-3.17, 4 Na 3.14-3.18
Au 0.6667 0.3333 0.0935  1 Pm 2.98, 7 Na 3.02-3.15
Au 0.0000 0.0000 0.7461  5 Na 3.05-3.18, 3 Pm 3.10
Au 0.0000 0.0000 0.2539  5 Na 3.05-3.18, 3 Pm 3.10
Au 0.3333 0.6667 0.9065  1 Pm 2.98, 7 Na 3.02-3.15
Au 0.6667 0.3333 0.5904  4 Pm 3.08-3.17, 4 Na 3.14-3.18

=====

No. 8
Density functional theory data (PBE) for a relaxed NaPmAu10 crystal.

Summary:
* SG: Pmmm (47)
* formation enthalpy at 0 K: -0.293 eV/atom
* D(E_F): 4.95 states/eV per cell

Cell: 4.7051 5.5650 9.7019 Å, 90.00 90.00 90.00°
With the nearest neighbours (Å) after each atom.
Element x y z (fractional)
Na 0.0000 0.0000 0.0000  6 Au 3.21-3.22
Pm 0.0000 0.5000 0.5000  6 Au 3.23-3.24
Au 0.0000 0.0000 0.3315  6 Au 2.84-2.86
Au 0.0000 0.5000 0.8341  6 Au 2.85
Au 0.0000 0.5000 0.1659  6 Au 2.85
Au 0.0000 0.0000 0.6685  6 Au 2.84-2.86
Au 0.5000 0.0000 0.5000  8 Au 2.77-2.86
Au 0.5000 0.5000 0.0000  8 Au 2.82-2.85
Au 0.5000 0.2538 0.2545  8 Au 2.74-2.85
Au 0.5000 0.7462 0.7455  8 Au 2.74-2.85
Au 0.5000 0.7462 0.2545  8 Au 2.74-2.85
Au 0.5000 0.2538 0.7455  8 Au 2.74-2.85

=====

Which of these has the lowest formation enthalpy at 0 K? Na2PmAu3